A relaxed NaLiHg2Br6 crystal, computed with PBE.

DOS(E_F) ... 0.0 states/eV/cell
Final energy ... -2.246 eV per atom
Size of the total moment ... 0.00 μB per atom

Cell and atoms, written as CIF:
```
data_NaLiHg2Br6
_symmetry_space_group_name_H-M 'R -3'
_symmetry_Int_Tables_number 148
_symmetry_space_group_name_Hall '-R 3'
_cell_length_a 7.2347
_cell_length_b 7.2347
_cell_length_c 20.6082
_cell_angle_alpha 90.00
_cell_angle_beta 90.00
_cell_angle_gamma 120.00
loop_
_atom_site_label
_atom_site_type_symbol
_atom_site_fract_x
_atom_site_fract_y
_atom_site_fract_z
Na1 Na 0.0000 0.0000 0.0000
Li1 Li 0.0000 0.0000 0.5000
Hg1 Hg 0.0000 0.0000 0.2445
Br1 Br 0.0161 0.3665 0.2470
```



A relaxed Na2LiHgBr5 crystal, computed with PBE.

DOS(E_F) ... 0.0 states/eV/cell
Final energy ... -2.614 eV per atom
Size of the total moment ... 0.00 μB per atom

Cell and atoms, written as CIF:
```
data_Na2LiHgBr5
_symmetry_space_group_name_H-M 'C m c 21'
_symmetry_Int_Tables_number 36
_symmetry_space_group_name_Hall 'C 2c -2'
_cell_length_a 4.200
_cell_length_b 17.641
_cell_length_c 14.585
_cell_angle_alpha 90.00
_cell_angle_beta 90.00
_cell_angle_gamma 90.00
loop_
_atom_site_label
_atom_site_type_symbol
_atom_site_fract_x
_atom_site_fract_y
_atom_site_fract_z
Na1 Na 0.000 0.068 0.000
Na2 Na 0.000 0.094 0.712
Li1 Li 0.000 0.408 0.771
Hg1 Hg 0.000 0.242 0.386
Br1 Br 0.000 0.082 0.372
Br2 Br 0.000 0.245 0.014
Br3 Br 0.000 0.263 0.742
Br4 Br 0.000 0.401 0.359
Br5 Br 0.000 0.491 0.628
```



A relaxed Na3Li3HgBr8 crystal, computed with PBE.

DOS(E_F) ... 0.0 states/eV/cell
Final energy ... -2.865 eV per atom
Size of the total moment ... 0.00 μB per atom

Cell and atoms, written as CIF:
```
data_Na3Li3HgBr8
_symmetry_space_group_name_H-M 'C 1 2/m 1'
_symmetry_Int_Tables_number 12
_symmetry_space_group_name_Hall '-C 2y'
_cell_length_a 14.073
_cell_length_b 8.117
_cell_length_c 8.276
_cell_angle_alpha 90.00
_cell_angle_beta 124.50
_cell_angle_gamma 90.00
loop_
_atom_site_label
_atom_site_type_symbol
_atom_site_fract_x
_atom_site_fract_y
_atom_site_fract_z
Na1 Na 0.000 0.000 0.000
Na2 Na 0.250 0.250 0.000
Li1 Li 0.000 0.500 0.500
Li2 Li 0.250 0.250 0.500
Hg1 Hg 0.000 0.000 0.500
Br1 Br 0.008 0.255 0.269
Br2 Br 0.244 0.500 0.731
Br3 Br 0.247 0.000 0.731
```